Entry 1:
First-principles (PBE) data for ScZnFeCo after structural relaxation, as listed in OQMD.

Computed properties:
- Crystal system: cubic
- Relative energy among the computed polymorphs: 0 meV/atom

Lattice parameters (Å, degrees): 4.3273 4.3273 4.3273 60.00 60.00 60.00
Atoms (fractional coordinates):
Sc  0.0000  0.0000  0.0000
Zn  0.2500  0.2500  0.2500
Fe  0.5000  0.5000  0.5000
Co  0.7500  0.7500  0.7500


Entry 2:
First-principles (PBE) data for ScZnFeCo after structural relaxation, as listed in OQMD.

Computed properties:
- Crystal system: cubic
- Relative energy among the computed polymorphs: 41 meV/atom

Lattice parameters (Å, degrees): 4.2405 4.2405 4.2405 60.00 60.00 60.00
Atoms (fractional coordinates):
Sc  0.0000  0.0000  0.0000
Zn  0.5000  0.5000  0.5000
Fe  0.2500  0.2500  0.2500
Co  0.7500  0.7500  0.7500